Computed, not measured: an optimized crystal structure of TbDy2Pt at the PBE-GGA level of DFT.

Values from the calculation:
distance to the lowest polymorph of the same formula: 0.873 kcal/mol of atoms
energy of formation: -0.676 eV per atom
E_tot: -5.645 eV/atom
size of the total moment: 0.00 μB per formula unit

Cell and atoms, written as POSCAR:
```
TbDy2Pt
1.0
3.795 -0.158 0.000
-1.644 6.145 0.000
0.000 0.000 9.420
Tb Dy Pt
2 4 2
Cartesian
0.217 5.216 2.355
1.934 0.771 7.065
0.071 1.658 0.598
0.071 1.658 4.112
2.080 4.328 5.308
2.080 4.328 8.822
2.019 2.824 2.355
0.132 3.163 7.065
```

---

Computed, not measured: an optimized crystal structure of Tb4DyPt2 at the PBE-GGA level of DFT.

Values from the calculation:
energy of formation: -0.684 eV per atom
E_tot: -5.713 eV/atom
size of the total moment: 0.00 μB per formula unit

Cell and atoms, written as POSCAR:
```
Tb4DyPt2
1.0
6.405 0.000 0.000
0.000 7.164 -3.041
0.000 0.014 8.113
Tb Dy Pt
8 2 4
Cartesian
1.601 1.776 2.054
1.601 7.056 1.987
4.804 5.402 3.018
3.242 2.946 4.995
4.804 0.122 3.085
0.040 4.231 0.077
3.162 4.231 0.077
6.365 2.946 4.995
4.804 1.096 -0.237
1.601 6.082 5.309
1.601 4.472 2.883
4.804 2.705 2.189
1.601 1.748 7.311
4.804 5.430 -2.239
```

---

Computed, not measured: an optimized crystal structure of TbDy2Pt at the PBE-GGA level of DFT.

Values from the calculation:
distance to the lowest polymorph of the same formula: 5.097 kcal/mol of atoms
energy of formation: -0.493 eV per atom
E_tot: -5.462 eV/atom
size of the total moment: 0.00 μB per formula unit

Cell and atoms, written as POSCAR:
```
TbDy2Pt
1.0
3.777 0.000 0.000
1.889 3.271 0.000
1.889 1.090 9.521
Dy Pt Tb
2 1 1
Cartesian
1.889 1.090 1.785
5.666 3.271 7.735
0.000 0.000 0.000
3.777 2.181 4.760
```

---

Computed, not measured: an optimized crystal structure of TbDyPt2 at the PBE-GGA level of DFT.

Values from the calculation:
distance to the lowest polymorph of the same formula: 4.202 kcal/mol of atoms
energy of formation: -1.095 eV per atom
E_tot: -6.423 eV/atom
size of the total moment: 0.00 μB per formula unit

Cell and atoms, written as POSCAR:
```
TbDyPt2
1.0
-0.778 -1.057 3.813
2.955 -1.441 2.336
2.204 5.559 4.123
Dy Tb Pt
1 1 2
Cartesian
3.642 3.839 8.205
2.202 1.583 5.153
1.831 3.944 3.599
1.099 0.784 2.574
```

---

Computed, not measured: an optimized crystal structure of TbDyPt2 at the PBE-GGA level of DFT.

Values from the calculation:
distance to the lowest polymorph of the same formula: 1.477 kcal/mol of atoms
energy of formation: -1.213 eV per atom
E_tot: -6.541 eV/atom
size of the total moment: 0.00 μB per formula unit

Cell and atoms, written as POSCAR:
```
TbDyPt2
1.0
-0.061 2.755 2.092
2.442 -2.589 3.482
4.339 1.538 -1.899
Dy Pt Tb
1 2 1
Cartesian
-0.030 1.378 1.046
1.221 -1.295 1.741
2.169 0.769 -0.950
3.360 0.852 1.837
```

---

Computed, not measured: an optimized crystal structure of Tb3Dy2Pt2 at the PBE-GGA level of DFT.

Values from the calculation:
energy of formation: -0.781 eV per atom
E_tot: -5.806 eV/atom
size of the total moment: 0.00 μB per formula unit

Cell and atoms, written as POSCAR:
```
Tb3Dy2Pt2
1.0
-0.001 2.455 2.860
1.613 -3.267 5.289
8.424 1.259 1.406
Tb Pt Dy
3 2 2
Cartesian
5.099 1.547 3.642
-0.001 1.228 1.430
4.938 -1.100 5.914
2.185 1.960 3.286
7.851 -1.513 6.270
2.360 -0.938 3.290
7.677 1.385 6.265
```

---

Computed, not measured: an optimized crystal structure of Tb5DyPt4 at the PBE-GGA level of DFT.

Values from the calculation:
energy of formation: -0.985 eV per atom
E_tot: -6.176 eV/atom
size of the total moment: 0.00 μB per formula unit

Cell and atoms, written as POSCAR:
```
Tb5DyPt4
1.0
-3.000 2.306 1.679
-3.641 0.196 -6.777
-0.981 -8.383 4.661
Tb Dy Pt
5 1 4
Cartesian
-3.455 -3.695 4.007
-2.290 -2.288 -0.948
-4.167 -2.186 -4.443
-3.321 1.251 -2.549
-5.332 -3.592 0.511
-1.500 1.153 0.839
-4.330 -4.063 -2.156
-6.703 -5.929 1.272
-3.291 -1.817 1.719
-0.918 0.049 -1.708
```

---

Computed, not measured: an optimized crystal structure of TbDyPt2 at the PBE-GGA level of DFT.

Values from the calculation:
distance to the lowest polymorph of the same formula: 3.336 kcal/mol of atoms
energy of formation: -1.132 eV per atom
E_tot: -6.461 eV/atom
size of the total moment: 0.00 μB per formula unit

Cell and atoms, written as POSCAR:
```
TbDyPt2
1.0
4.066 0.000 0.000
2.033 3.521 0.000
2.033 1.174 6.685
Tb Pt Dy
1 2 1
Cartesian
4.066 2.347 3.342
2.033 1.174 1.660
6.098 3.521 5.025
0.000 0.000 0.000
```

---

Computed, not measured: an optimized crystal structure of Tb2DyPt9 at the PBE-GGA level of DFT.

Values from the calculation:
energy of formation: -1.025 eV per atom
E_tot: -6.711 eV/atom
size of the total moment: 0.00 μB per formula unit

Cell and atoms, written as POSCAR:
```
Tb2DyPt9
1.0
-1.411 3.001 -2.455
-3.140 -2.416 -1.149
-6.822 4.426 9.330
Pt Tb Dy
9 2 1
Cartesian
-4.116 3.713 3.437
-6.825 3.244 4.421
-7.260 2.483 7.207
-2.275 0.292 -1.802
-2.702 -0.474 0.974
-4.981 1.005 4.090
-6.395 5.192 6.554
-4.547 1.766 1.305
-1.837 2.235 0.321
-2.272 1.474 3.108
-4.550 2.952 6.222
0.000 0.000 0.000
```

---

Computed, not measured: an optimized crystal structure of Tb2Dy2Pt15 at the PBE-GGA level of DFT.

Values from the calculation:
energy of formation: -0.716 eV per atom
E_tot: -6.457 eV/atom
size of the total moment: 0.00 μB per formula unit

Cell and atoms, written as POSCAR:
```
Tb2Dy2Pt15
1.0
-2.340 0.152 6.697
-0.759 -6.995 0.920
6.201 -1.232 3.221
Tb Dy Pt
2 2 15
Cartesian
1.977 -5.146 6.906
1.125 -2.929 3.931
2.770 -7.210 9.676
0.332 -0.865 1.161
2.397 -1.842 6.622
0.349 -0.284 5.603
-1.014 -4.666 5.494
3.512 -0.797 4.315
3.171 -5.344 3.790
-1.842 -2.098 4.878
0.706 -6.233 4.216
-1.170 0.076 3.348
4.010 -3.046 2.496
-0.380 -3.497 0.460
-0.069 -2.731 7.047
3.101 -0.616 1.610
-1.257 -4.745 2.738
4.117 -3.409 5.343
1.432 -5.181 1.644
```

---

Computed, not measured: an optimized crystal structure of TbDy3Pt8 at the PBE-GGA level of DFT.

Values from the calculation:
energy of formation: -1.073 eV per atom
E_tot: -6.636 eV/atom
size of the total moment: 0.00 μB per formula unit

Cell and atoms, written as POSCAR:
```
TbDy3Pt8
1.0
5.455 0.000 0.000
-2.728 4.724 0.000
0.000 0.000 8.877
Dy Pt Tb
3 8 1
Cartesian
0.000 0.000 8.305
2.728 1.575 0.576
2.728 1.575 3.857
0.000 3.150 4.438
1.384 3.949 2.217
2.728 0.024 6.660
4.070 2.350 6.660
1.385 2.350 6.660
0.000 1.551 2.217
0.000 3.150 8.876
-1.384 3.949 2.217
0.000 0.000 5.018
```

---

Computed, not measured: an optimized crystal structure of Tb2Dy3Pt2 at the PBE-GGA level of DFT.

Values from the calculation:
energy of formation: -0.789 eV per atom
E_tot: -5.810 eV/atom
size of the total moment: 0.00 μB per formula unit

Cell and atoms, written as POSCAR:
```
Tb2Dy3Pt2
1.0
3.634 0.000 0.970
1.459 5.982 1.825
-0.347 0.248 8.592
Dy Tb Pt
3 2 2
Cartesian
1.817 0.000 0.485
2.410 4.860 5.556
2.337 1.370 5.831
3.510 3.286 8.727
1.237 2.944 2.660
3.079 0.707 3.051
1.668 5.523 8.336
```

---

Computed, not measured: an optimized crystal structure of TbDy2Pt at the PBE-GGA level of DFT.

Values from the calculation:
distance to the lowest polymorph of the same formula: 4.489 kcal/mol of atoms
energy of formation: -0.519 eV per atom
E_tot: -5.488 eV/atom
size of the total moment: 0.00 μB per formula unit

Cell and atoms, written as POSCAR:
```
TbDy2Pt
1.0
-2.071 -0.954 -3.190
-3.416 -1.888 0.373
-6.137 6.933 -0.499
Dy Tb Pt
2 1 1
Cartesian
-2.622 0.503 -0.858
-5.353 5.499 -0.579
-5.792 2.008 -1.660
-3.670 -1.873 -1.877
```

---

Computed, not measured: an optimized crystal structure of TbDy2Pt2 at the PBE-GGA level of DFT.

Values from the calculation:
distance to the lowest polymorph of the same formula: 0.000 kcal/mol of atoms
energy of formation: -1.004 eV per atom
E_tot: -6.187 eV/atom
size of the total moment: 0.00 μB per formula unit

Cell and atoms, written as POSCAR:
```
TbDy2Pt2
1.0
3.734 0.000 -0.573
0.000 4.634 0.000
0.234 0.000 13.991
Dy Tb Pt
4 2 4
Cartesian
2.837 1.158 6.041
0.214 1.158 1.395
1.131 3.475 7.377
3.754 3.475 12.023
1.530 1.158 9.979
2.438 3.475 3.439
3.313 3.475 9.141
2.006 3.475 0.620
1.962 1.158 12.798
0.656 1.158 4.277
```

---

Computed, not measured: an optimized crystal structure of TbDy3Pt at the PBE-GGA level of DFT.

Values from the calculation:
energy of formation: -0.471 eV per atom
E_tot: -5.367 eV/atom
size of the total moment: 0.00 μB per formula unit

Cell and atoms, written as POSCAR:
```
TbDy3Pt
1.0
-0.247 5.087 0.552
-3.699 0.388 -5.231
-6.460 -0.939 5.763
Dy Pt Tb
6 2 2
Cartesian
-8.319 4.157 -0.397
-8.078 3.777 3.215
-5.214 4.156 0.995
-9.519 1.329 1.357
-2.817 1.887 -0.793
-5.923 1.888 -2.185
-4.152 4.479 -1.510
-6.984 1.564 0.319
-1.523 4.327 1.075
-5.915 1.329 2.965
```

---

Computed, not measured: an optimized crystal structure of TbDy3Pt12 at the PBE-GGA level of DFT.

Values from the calculation:
energy of formation: -1.031 eV per atom
E_tot: -6.714 eV/atom
size of the total moment: 0.00 μB per formula unit

Cell and atoms, written as POSCAR:
```
TbDy3Pt12
1.0
4.129 0.000 0.000
0.000 4.129 0.000
0.000 0.000 16.439
Pt Tb Dy
12 1 3
Cartesian
2.064 2.064 8.219
2.064 0.000 2.064
0.000 2.064 14.375
2.064 2.064 12.323
0.000 2.064 2.064
2.064 0.000 14.375
0.000 2.064 10.272
2.064 0.000 10.272
2.064 2.064 0.000
0.000 2.064 6.167
2.064 0.000 6.167
2.064 2.064 4.116
0.000 0.000 0.000
0.000 0.000 8.219
0.000 0.000 12.325
0.000 0.000 4.114
```

---

Computed, not measured: an optimized crystal structure of TbDy2Pt2 at the PBE-GGA level of DFT.

Values from the calculation:
distance to the lowest polymorph of the same formula: 0.719 kcal/mol of atoms
energy of formation: -0.973 eV per atom
E_tot: -6.156 eV/atom
size of the total moment: 0.00 μB per formula unit

Cell and atoms, written as POSCAR:
```
TbDy2Pt2
1.0
4.022 0.000 0.000
2.011 5.646 0.058
2.011 1.568 5.424
Pt Dy Tb
2 2 1
Cartesian
4.022 2.759 3.857
4.022 4.455 1.625
2.011 2.228 1.693
6.033 4.986 3.789
0.000 0.000 0.000
```

---

Computed, not measured: an optimized crystal structure of TbDyPt2 at the PBE-GGA level of DFT.

Values from the calculation:
distance to the lowest polymorph of the same formula: 1.538 kcal/mol of atoms
energy of formation: -1.210 eV per atom
E_tot: -6.539 eV/atom
size of the total moment: 0.00 μB per formula unit

Cell and atoms, written as POSCAR:
```
TbDyPt2
1.0
-2.449 0.752 -4.242
-3.516 -3.186 -1.429
-4.764 1.360 0.097
Pt Dy Tb
2 1 1
Cartesian
-8.047 -0.805 -4.180
-2.682 -0.268 -1.393
-5.365 -0.537 -2.787
0.000 0.000 0.000
```

---

Computed, not measured: an optimized crystal structure of Tb2Dy2Pt3 at the PBE-GGA level of DFT.

Values from the calculation:
energy of formation: -1.105 eV per atom
E_tot: -6.332 eV/atom
size of the total moment: 0.00 μB per formula unit

Cell and atoms, written as POSCAR:
```
Tb2Dy2Pt3
1.0
7.145 0.000 -2.526
-3.573 6.188 -2.526
0.000 0.000 7.579
Dy Tb Pt
4 4 6
Cartesian
0.448 5.412 0.317
0.891 3.094 -2.210
-1.338 3.870 2.843
0.000 0.000 6.629
0.000 0.000 2.836
4.460 3.094 -3.472
2.236 2.315 1.581
4.022 0.779 -0.945
1.775 4.641 3.150
2.227 0.764 4.429
-0.441 2.330 0.624
3.120 3.877 -0.624
5.370 1.547 1.903
-1.334 5.405 -1.903
```

---

Computed, not measured: an optimized crystal structure of TbDy2Pt at the PBE-GGA level of DFT.

Values from the calculation:
distance to the lowest polymorph of the same formula: 2.956 kcal/mol of atoms
energy of formation: -0.586 eV per atom
E_tot: -5.555 eV/atom
size of the total moment: 0.00 μB per formula unit

Cell and atoms, written as POSCAR:
```
TbDy2Pt
1.0
3.576 0.000 0.000
0.000 3.576 0.000
0.000 0.000 8.417
Dy Tb Pt
2 1 1
Cartesian
0.000 0.000 6.778
0.000 0.000 1.639
1.788 1.788 4.209
1.788 1.788 0.000
```